Density functional theory data (PBE-GGA) for a relaxed ThPaZn17 crystal.

```
19
Lattice="6.7668 0.0179 0.8183 0.7275 6.7276 0.8183 0.0199 0.0179 6.8160" Properties=species:S:1:pos:R:3 pbc="T T T"
Zn 0.7392 0.6654 0.8316
Zn 2.5315 4.7766 7.6256
Zn 2.6840 2.4158 6.2734
Zn 3.0229 5.6298 3.4005
Zn 2.7381 6.7354 5.8747
Zn 1.5308 4.3859 5.0872
Zn 4.8728 4.3859 2.1163
Zn 5.0157 2.0166 7.6256
Pa 4.9794 4.4819 5.6014
Th 2.5431 2.2890 2.8608
Zn 0.3691 3.3564 0.4152
Zn 3.3766 0.0151 0.4152
Zn 4.5223 1.0624 5.0872
Zn 6.9854 2.0166 5.8747
Zn 5.5134 6.7354 3.4076
Zn 6.7503 6.0759 7.5935
Zn 7.2765 4.7766 3.4076
Zn 0.0168 0.0151 3.4020
Zn 5.9157 2.4158 3.4005
```

Calculated values
**Magnetization**: 0.65 μB per formula unit
**Calculated volume**: 310.01 Å³/f.u.
**Total energy**: -2.19 eV per atom
**Formation energy**: -0.16 eV/atom

Density functional theory data (PBE-GGA) for a relaxed ThZr2Pa crystal.

```
4
Lattice="-2.9393 -0.1493 -2.5347 -2.5168 -0.3424 2.9386 -0.6110 7.0233 0.2950" Properties=species:S:1:pos:R:3 pbc="T T T"
Pa -2.7280 -0.2458 0.2019
Zr -0.4814 5.5332 0.2324
Th -3.0336 3.2658 0.3494
Zr -0.1296 1.4901 0.0626
```

Calculated values
**Magnetization**: 0.00 μB per formula unit
**Calculated volume**: 106.45 Å³/f.u.
**Total energy**: -8.35 eV per atom
**Energy above the lowest structure with this stoichiometry**: 0.0000 eV per atom
**Formation energy**: 0.15 eV/atom

Density functional theory data (PBE-GGA) for a relaxed ThZr2Pa crystal.

```
4
Lattice="5.2738 0.0000 0.0000 2.6369 4.5672 0.0000 2.6369 1.5224 4.3060" Properties=species:S:1:pos:R:3 pbc="T T T"
Th 0.0000 0.0000 0.0000
Zr 7.9107 4.5672 3.2295
Pa 5.2738 3.0448 2.1530
Zr 2.6369 1.5224 1.0765
```

Calculated values
**Magnetization**: 0.06 μB per formula unit
**Calculated volume**: 103.72 Å³/f.u.
**Total energy**: -8.25 eV per atom
**Energy above the lowest structure with this stoichiometry**: 0.1016 eV per atom
**Formation energy**: 0.25 eV/atom

Density functional theory data (PBE-GGA) for a relaxed ThZr2Pa crystal.

```
4
Lattice="-4.9441 -0.3412 0.4058 0.4662 -1.7653 4.1952 -0.1438 4.2093 1.7873" Properties=species:S:1:pos:R:3 pbc="T T T"
Pa -2.3109 1.0514 3.1941
Zr -0.0719 2.1047 0.8936
Zr 0.2331 -0.8827 2.0976
Th -2.4721 -0.1706 0.2029
```

Calculated values
**Magnetization**: 0.00 μB per formula unit
**Calculated volume**: 104.09 Å³/f.u.
**Total energy**: -8.33 eV per atom
**Energy above the lowest structure with this stoichiometry**: 0.0221 eV per atom
**Formation energy**: 0.17 eV/atom

Density functional theory data (PBE-GGA) for a relaxed ThZr2Pa crystal.

```
4
Lattice="3.3092 0.0004 -0.0007 1.6549 2.8656 -0.0007 1.6525 0.9541 11.0181" Properties=species:S:1:pos:R:3 pbc="T T T"
Th 3.3088 1.9104 5.5030
Pa 4.9613 2.8644 11.0152
Zr 1.6533 0.9545 8.3724
Zr 1.6540 0.9549 2.6526
```

Calculated values
**Magnetization**: 0.00 μB per formula unit
**Calculated volume**: 104.48 Å³/f.u.
**Total energy**: -8.34 eV per atom
**Energy above the lowest structure with this stoichiometry**: 0.0102 eV per atom
**Formation energy**: 0.16 eV/atom

Density functional theory data (PBE-GGA) for a relaxed ThZr2Pa crystal.

```
4
Lattice="3.3025 0.0000 0.0000 1.6512 2.8600 0.0000 1.6512 0.9533 11.0367" Properties=species:S:1:pos:R:3 pbc="T T T"
Zr 4.9537 2.8600 8.3743
Th 3.3025 1.9067 5.5183
Pa 0.0000 0.0000 0.0000
Zr 1.6512 0.9533 2.6624
```

Calculated values
**Magnetization**: 0.00 μB per formula unit
**Calculated volume**: 104.24 Å³/f.u.
**Total energy**: -8.33 eV per atom
**Energy above the lowest structure with this stoichiometry**: 0.0258 eV per atom
**Formation energy**: 0.18 eV/atom

Density functional theory data (PBE-GGA) for a relaxed PaTi crystal.

```
2
Lattice="-2.7939 -2.0820 0.3841 2.0592 -2.8201 -0.3083 0.4921 -0.0200 3.4707" Properties=species:S:1:pos:R:3 pbc="T T T"
Ti 0.0000 0.0000 0.0000
Pa -0.1213 -2.4611 1.7733
```

Calculated values
**Magnetization**: 0.72 μB per formula unit
**Calculated volume**: 43.08 Å³/f.u.
**Total energy**: -8.40 eV per atom
**Energy above the lowest structure with this stoichiometry**: 0.2506 eV per atom
**Formation energy**: 0.29 eV/atom

Density functional theory data (PBE-GGA) for a relaxed PaTi5 crystal.

```
6
Lattice="-1.5404 0.5354 3.7555 -2.7330 -3.1214 -0.6760 5.5888 -2.6411 2.6690" Properties=species:S:1:pos:R:3 pbc="T T T"
Ti -2.1367 -1.2930 1.5397
Ti 0.6894 -1.1848 2.6835
Pa 0.0000 0.0000 0.0000
Ti 0.0708 -2.9910 0.4555
Ti 2.7850 -2.7715 1.5375
Ti 0.6259 -4.0422 3.0649
```

Calculated values
**Magnetization**: 0.00 μB per formula unit
**Calculated volume**: 110.09 Å³/f.u.
**Total energy**: -8.09 eV per atom
**Formation energy**: 0.08 eV/atom

Density functional theory data (PBE-GGA) for a relaxed Pa2Ti3 crystal.

```
10
Lattice="8.1053 0.0000 0.0000 4.0527 7.0194 0.0000 4.0527 2.3398 3.5360" Properties=species:S:1:pos:R:3 pbc="T T T"
Pa 4.0527 2.3398 2.2102
Pa 8.1053 4.6796 0.4422
Ti 5.4167 4.7025 0.8840
Pa 8.1053 4.6796 3.0937
Ti 6.7412 2.3626 2.6520
Ti 10.7939 4.6568 2.6520
Ti 9.4298 2.3398 0.8840
Pa 12.1580 7.0194 1.3258
Ti 6.7808 7.0194 2.6520
Ti 9.4694 6.9966 0.8840
```

Calculated values
**Magnetization**: 0.00 μB per formula unit
**Calculated volume**: 100.59 Å³/f.u.
**Total energy**: -8.17 eV per atom
**Formation energy**: 0.37 eV/atom

Density functional theory data (PBE-GGA) for a relaxed Pa3Ti crystal.

```
4
Lattice="-2.8825 0.9598 0.2122 -0.7472 -1.7332 -2.3106 -2.0555 -7.5765 6.3478" Properties=species:S:1:pos:R:3 pbc="T T T"
Pa -2.2128 -1.8535 0.1797
Pa -2.9033 -4.9094 4.6214
Pa -1.3184 -4.3491 1.7624
Ti -1.9913 -7.3399 6.1497
```

Calculated values
**Magnetization**: 0.00 μB per formula unit
**Calculated volume**: 91.73 Å³/f.u.
**Total energy**: -8.88 eV per atom
**Energy above the lowest structure with this stoichiometry**: 0.1406 eV per atom
**Formation energy**: 0.21 eV/atom

Density functional theory data (PBE-GGA) for a relaxed Pa8Ti crystal.

```
9
Lattice="-1.1475 2.1144 3.8012 2.9617 -3.6623 5.5931 5.1497 4.9866 1.4428" Properties=species:S:1:pos:R:3 pbc="T T T"
Pa 1.3007 2.3441 1.7507
Pa 0.5841 -0.4885 3.1099
Ti 0.0000 0.0000 0.0000
Pa 2.7015 4.7569 3.4933
Pa 1.2301 -1.0595 6.2844
Pa 5.0591 1.5848 5.9695
Pa 4.4284 2.1353 2.8110
Pa 3.6831 -0.8110 4.2249
Pa 1.9049 1.8539 4.8676
```

Calculated values
**Magnetization**: 0.00 μB per formula unit
**Calculated volume**: 217.77 Å³/f.u.
**Total energy**: -9.28 eV per atom
**Formation energy**: 0.04 eV/atom

Density functional theory data (PBE-GGA) for a relaxed PaTi crystal.

```
4
Lattice="-3.1239 -0.1681 0.3058 -0.3788 -0.4182 -4.1002 0.3999 -6.3878 0.6146" Properties=species:S:1:pos:R:3 pbc="T T T"
Pa -0.8139 -4.3533 -2.6142
Ti -1.0265 -0.9853 -2.9380
Ti -2.0763 -5.9888 -0.2418
Pa -2.2889 -2.6208 -0.5657
```

Calculated values
**Magnetization**: 0.00 μB per formula unit
**Calculated volume**: 41.83 Å³/f.u.
**Total energy**: -8.65 eV per atom
**Energy above the lowest structure with this stoichiometry**: 0.0000 eV per atom
**Formation energy**: 0.04 eV/atom

Density functional theory data (PBE-GGA) for a relaxed Pa3Ti crystal.

```
4
Lattice="-3.1434 -1.5237 -2.6979 2.8524 0.0779 -3.3674 1.4426 -3.7166 4.0287" Properties=species:S:1:pos:R:3 pbc="T T T"
Pa -0.1455 -0.7229 -3.0326
Pa 2.0748 -2.1808 -1.1857
Ti 0.0000 0.0000 0.0000
Pa -0.9231 -2.9816 -0.8509
```

Calculated values
**Magnetization**: 0.00 μB per formula unit
**Calculated volume**: 92.17 Å³/f.u.
**Total energy**: -9.03 eV per atom
**Energy above the lowest structure with this stoichiometry**: 0.0000 eV per atom
**Formation energy**: 0.07 eV/atom

Density functional theory data (PBE-GGA) for a relaxed Pa3Ti crystal.

```
8
Lattice="-1.0873 -1.7391 2.2352 -7.5678 -2.6725 -5.7608 2.9819 -4.8716 -2.3398" Properties=species:S:1:pos:R:3 pbc="T T T"
Ti -2.0507 -5.1348 -1.9048
Pa -6.4210 -3.4641 -4.7895
Pa -2.8926 -7.3230 -4.0169
Ti -3.6226 -4.1484 -3.9606
Pa -5.0068 -5.8601 -5.9657
Pa -2.7806 -1.9602 -1.8485
Pa 0.7478 -5.8191 -1.0759
Pa -0.6665 -3.4231 0.1003
```

Calculated values
**Magnetization**: 0.00 μB per formula unit
**Calculated volume**: 92.30 Å³/f.u.
**Total energy**: -8.94 eV per atom
**Energy above the lowest structure with this stoichiometry**: 0.0813 eV per atom
**Formation energy**: 0.15 eV/atom

Density functional theory data (PBE-GGA) for a relaxed Pa3Ti crystal.

```
4
Lattice="-3.1802 1.7119 2.7527 -2.1475 -4.0013 0.0074 2.4282 -1.2966 3.6117" Properties=species:S:1:pos:R:3 pbc="T T T"
Pa -0.3760 0.2077 3.1822
Pa -2.6639 -1.1447 1.3800
Ti 0.0000 0.0000 0.0000
Pa 0.1404 -2.6489 1.8095
```

Calculated values
**Magnetization**: 0.00 μB per formula unit
**Calculated volume**: 93.65 Å³/f.u.
**Total energy**: -8.96 eV per atom
**Energy above the lowest structure with this stoichiometry**: 0.0649 eV per atom
**Formation energy**: 0.14 eV/atom

Density functional theory data (PBE-GGA) for a relaxed Pa2Ti crystal.

```
6
Lattice="4.6320 0.0000 0.0000 -2.3160 4.9031 0.0000 0.0000 0.0000 6.1228" Properties=species:S:1:pos:R:3 pbc="T T T"
Pa 2.3160 2.8477 0.1708
Pa 2.3160 0.0001 4.7626
Ti 0.0000 1.0050 0.1705
Pa 0.0000 2.0554 3.2322
Pa 0.0000 4.9030 1.7012
Ti 2.3160 3.8981 3.2319
```

Calculated values
**Magnetization**: 0.00 μB per formula unit
**Calculated volume**: 69.53 Å³/f.u.
**Total energy**: -8.78 eV per atom
**Energy above the lowest structure with this stoichiometry**: 0.0000 eV per atom
**Formation energy**: 0.19 eV/atom

Density functional theory data (PBE-GGA) for a relaxed Pa3Ti crystal.

```
4
Lattice="5.0398 0.0000 0.0000 2.5199 4.3646 0.0000 2.5199 1.4549 4.1150" Properties=species:S:1:pos:R:3 pbc="T T T"
Pa 0.0000 0.0000 0.0000
Pa 2.5199 1.4549 1.0288
Ti 5.0398 2.9097 2.0575
Pa 7.5598 4.3646 3.0863
```

Calculated values
**Magnetization**: 0.00 μB per formula unit
**Calculated volume**: 90.52 Å³/f.u.
**Total energy**: -8.90 eV per atom
**Energy above the lowest structure with this stoichiometry**: 0.1220 eV per atom
**Formation energy**: 0.19 eV/atom

Density functional theory data (PBE-GGA) for a relaxed Pa17Ti2 crystal.

```
19
Lattice="-3.1860 -4.5132 -5.7317 -5.9190 -3.3663 4.1239 -5.9991 4.7409 -2.2153" Properties=species:S:1:pos:R:3 pbc="T T T"
Ti -4.2592 -0.8851 -1.0781
Pa -2.9996 2.3704 -1.1076
Ti -10.8450 -2.2536 -2.7450
Pa -5.9738 2.1777 -0.2111
Pa -8.2163 1.2591 -2.4249
Pa -6.9275 -0.3811 -4.5389
Pa -5.1097 1.8151 -3.3270
Pa -13.7300 -2.8532 -3.4753
Pa -1.5930 -2.2566 -2.8659
Pa -5.0549 -3.7289 1.0079
Pa -4.0754 -1.5874 -4.6200
Pa -8.2815 0.1871 0.3440
Pa -1.3741 -0.2855 -0.3478
Pa -8.1766 -2.7576 0.7158
Pa -2.9595 -1.6832 2.0619
Pa -5.9443 -0.8031 2.1197
Pa -6.8878 -4.3978 -1.3982
Pa -4.0501 -4.1506 -2.6157
Pa -6.8226 -3.3258 -4.1671
```

Calculated values
**Magnetization**: 0.00 μB per formula unit
**Calculated volume**: 485.96 Å³/f.u.
**Total energy**: -9.01 eV per atom
**Formation energy**: 0.32 eV/atom

Density functional theory data (PBE-GGA) for a relaxed Pa3Ti crystal.

```
4
Lattice="-1.1090 2.7521 0.7873 -4.1734 -2.5167 2.9190 5.6510 -0.1323 2.4375" Properties=species:S:1:pos:R:3 pbc="T T T"
Pa -2.7733 0.0380 1.9456
Pa 1.7367 1.8936 1.8118
Pa 0.3713 -0.7416 3.1155
Ti -0.2161 -0.1303 0.1511
```

Calculated values
**Magnetization**: 0.00 μB per formula unit
**Calculated volume**: 91.40 Å³/f.u.
**Total energy**: -9.03 eV per atom
**Energy above the lowest structure with this stoichiometry**: 0.0002 eV per atom
**Formation energy**: 0.07 eV/atom

Density functional theory data (PBE-GGA) for a relaxed Pa2Ti crystal.

```
6
Lattice="5.8510 0.0000 0.0000 2.9255 5.0672 0.0000 2.9255 1.6891 4.7774" Properties=species:S:1:pos:R:3 pbc="T T T"
Ti 0.0000 0.0000 0.0000
Pa 5.8510 3.3781 0.5972
Ti 2.9255 1.6891 1.1943
Pa 4.3883 4.2226 2.9858
Pa 5.8510 1.6891 2.9858
Pa 7.3138 4.2226 2.9858
```

Calculated values
**Magnetization**: 0.00 μB per formula unit
**Calculated volume**: 70.82 Å³/f.u.
**Total energy**: -8.43 eV per atom
**Energy above the lowest structure with this stoichiometry**: 0.3467 eV per atom
**Formation energy**: 0.53 eV/atom